Record 1
Entry from Alexandria: a geometry-optimized La2ScCo structure (PBE). Values from VASP.

Structure (Quantum ESPRESSO input):
```
&SYSTEM
  ibrav = 0, nat = 4, ntyp = 3
/
ATOMIC_SPECIES
La 138.91 La.upf
Co 58.93 Co.upf
Sc 44.96 Sc.upf
CELL_PARAMETERS angstrom
3.784 -3.385 1.253
3.503 1.239 3.680
-0.097 -2.434 4.627
ATOMIC_POSITIONS angstrom
La 1.797 -1.145 2.390
Co 3.595 -2.290 4.780
La 5.392 -3.435 7.170
Sc 0.000 0.000 0.000
```

=====

Record 2
Entry from Alexandria: a geometry-optimized La2ScCo structure (PBE). Values from VASP.

Structure (Quantum ESPRESSO input):
```
&SYSTEM
  ibrav = 0, nat = 4, ntyp = 3
/
ATOMIC_SPECIES
Sc 44.96 Sc.upf
La 138.91 La.upf
Co 58.93 Co.upf
CELL_PARAMETERS angstrom
3.527 0.056 0.000
-0.057 3.527 0.000
0.000 0.000 8.582
ATOMIC_POSITIONS angstrom
Sc 1.735 1.791 2.146
La 0.000 0.000 4.701
La 0.000 0.000 8.173
Co 1.735 1.791 6.437
```

=====

Record 3
Entry from Alexandria: a geometry-optimized LaScCo3 structure (PBE). Values from VASP.

Structure (Quantum ESPRESSO input):
```
&SYSTEM
  ibrav = 0, nat = 5, ntyp = 3
/
ATOMIC_SPECIES
Co 58.93 Co.upf
La 138.91 La.upf
Sc 44.96 Sc.upf
CELL_PARAMETERS angstrom
-3.624 1.963 -1.946
-2.571 -1.215 3.563
1.016 3.931 2.073
ATOMIC_POSITIONS angstrom
Co -1.812 0.982 -0.973
Co 0.508 1.965 1.037
La -2.590 2.339 1.845
Sc 0.000 0.000 0.000
Co -1.286 -0.607 1.781
```

=====

Record 4
Entry from Alexandria: a geometry-optimized LaSc2Co structure (PBE). Values from VASP.

Structure (Quantum ESPRESSO input):
```
&SYSTEM
  ibrav = 0, nat = 4, ntyp = 3
/
ATOMIC_SPECIES
Co 58.93 Co.upf
Sc 44.96 Sc.upf
La 138.91 La.upf
CELL_PARAMETERS angstrom
-0.348 4.788 -0.798
-4.718 -0.145 1.184
0.863 0.649 3.517
ATOMIC_POSITIONS angstrom
Co 0.257 2.718 1.359
Sc -2.533 2.321 0.193
La -1.928 0.252 2.351
Sc 0.000 0.000 0.000
```

=====

Record 5
Entry from Alexandria: a geometry-optimized La2ScCo9 structure (PBE). Values from VASP.

Structure (Quantum ESPRESSO input):
```
&SYSTEM
  ibrav = 0, nat = 12, ntyp = 3
/
ATOMIC_SPECIES
Co 58.93 Co.upf
La 138.91 La.upf
Sc 44.96 Sc.upf
CELL_PARAMETERS angstrom
-2.897 0.293 -3.949
-0.066 -3.657 -3.271
-7.249 -4.869 1.909
ATOMIC_POSITIONS angstrom
Co -7.292 -5.687 -2.677
Co -5.106 -4.117 -2.656
Co -5.857 -5.832 -0.723
La -4.647 -3.311 0.115
Co -9.214 -7.106 -2.912
Sc 0.000 0.000 0.000
Co -0.998 -1.128 -2.400
Co -2.921 -2.546 -2.634
La -5.566 -4.922 -5.427
Co -2.953 -4.356 -4.253
Co -7.259 -3.877 -1.058
Co -4.355 -2.401 -4.589
```

=====

Record 6
Entry from Alexandria: a geometry-optimized LaSc2Co structure (PBE). Values from VASP.

Structure (Quantum ESPRESSO input):
```
&SYSTEM
  ibrav = 0, nat = 4, ntyp = 3
/
ATOMIC_SPECIES
La 138.91 La.upf
Co 58.93 Co.upf
Sc 44.96 Sc.upf
CELL_PARAMETERS angstrom
4.974 -0.019 0.000
0.029 4.974 0.000
-2.501 -2.477 3.514
ATOMIC_POSITIONS angstrom
La 2.487 -0.010 1.757
Co 2.501 2.477 0.000
Sc 0.000 0.000 0.000
Sc 0.014 2.487 1.757
```

=====

Record 7
Entry from Alexandria: a geometry-optimized La2ScCo structure (PBE). Values from VASP.

Structure (Quantum ESPRESSO input):
```
&SYSTEM
  ibrav = 0, nat = 4, ntyp = 3
/
ATOMIC_SPECIES
La 138.91 La.upf
Co 58.93 Co.upf
Sc 44.96 Sc.upf
CELL_PARAMETERS angstrom
3.378 0.000 0.000
0.000 3.378 0.000
0.000 0.000 9.094
ATOMIC_POSITIONS angstrom
La 1.689 1.689 2.515
Co 1.689 1.689 6.574
Sc 0.000 0.000 5.233
La 0.000 0.000 8.413
```

=====

Record 8
Entry from Alexandria: a geometry-optimized LaSc2Co structure (PBE). Values from VASP.

Structure (Quantum ESPRESSO input):
```
&SYSTEM
  ibrav = 0, nat = 4, ntyp = 3
/
ATOMIC_SPECIES
Sc 44.96 Sc.upf
La 138.91 La.upf
Co 58.93 Co.upf
CELL_PARAMETERS angstrom
-4.231 3.640 -1.993
-2.980 1.922 -4.749
-4.616 -2.145 -0.760
ATOMIC_POSITIONS angstrom
Sc -9.028 3.037 -5.993
La -2.819 0.444 -1.557
Sc -7.206 5.556 -6.736
Co -5.899 1.650 -3.707
```

=====

Record 9
Entry from Alexandria: a geometry-optimized LaSc2Co structure (PBE). Values from VASP.

Structure (Quantum ESPRESSO input):
```
&SYSTEM
  ibrav = 0, nat = 4, ntyp = 3
/
ATOMIC_SPECIES
La 138.91 La.upf
Co 58.93 Co.upf
Sc 44.96 Sc.upf
CELL_PARAMETERS angstrom
0.000 3.464 3.464
3.464 0.000 3.464
3.464 3.464 0.000
ATOMIC_POSITIONS angstrom
La 3.464 3.464 3.464
Co 0.000 0.000 0.000
Sc 1.732 1.732 1.732
Sc 5.196 5.196 5.196
```

=====

Record 10
Entry from Alexandria: a geometry-optimized LaSc2Co structure (PBE). Values from VASP.

Structure (Quantum ESPRESSO input):
```
&SYSTEM
  ibrav = 0, nat = 4, ntyp = 3
/
ATOMIC_SPECIES
Co 58.93 Co.upf
La 138.91 La.upf
Sc 44.96 Sc.upf
CELL_PARAMETERS angstrom
-2.647 0.745 -1.699
-0.855 -3.118 -0.037
-4.395 1.119 7.336
ATOMIC_POSITIONS angstrom
Co -2.850 -0.906 0.966
La -5.047 -0.347 4.634
Sc -1.857 0.473 3.099
Sc -0.341 0.087 0.569
```

=====

Record 11
Entry from Alexandria: a geometry-optimized LaScCo3 structure (PBE). Values from VASP.

Structure (Quantum ESPRESSO input):
```
&SYSTEM
  ibrav = 0, nat = 5, ntyp = 3
/
ATOMIC_SPECIES
Sc 44.96 Sc.upf
Co 58.93 Co.upf
La 138.91 La.upf
CELL_PARAMETERS angstrom
-1.783 -2.960 2.986
0.199 -3.299 -3.151
4.199 -1.100 1.418
ATOMIC_POSITIONS angstrom
Sc 1.308 -3.679 0.626
Co -0.892 -1.480 1.493
Co 2.100 -0.550 0.709
La 0.000 0.000 0.000
Co 0.100 -1.650 -1.576
```

=====

Record 12
Entry from Alexandria: a geometry-optimized LaSc2Co structure (PBE). Values from VASP.

Structure (Quantum ESPRESSO input):
```
&SYSTEM
  ibrav = 0, nat = 4, ntyp = 3
/
ATOMIC_SPECIES
Sc 44.96 Sc.upf
La 138.91 La.upf
Co 58.93 Co.upf
CELL_PARAMETERS angstrom
6.225 0.032 -0.062
5.332 3.212 -0.062
2.182 0.612 4.635
ATOMIC_POSITIONS angstrom
Sc 2.724 0.765 4.360
La 3.435 0.964 1.128
Co 10.304 2.892 3.383
Sc 6.327 1.776 2.531
```

=====

Record 13
Entry from Alexandria: a geometry-optimized LaSc2Co structure (PBE). Values from VASP.

Structure (Quantum ESPRESSO input):
```
&SYSTEM
  ibrav = 0, nat = 4, ntyp = 3
/
ATOMIC_SPECIES
Sc 44.96 Sc.upf
Co 58.93 Co.upf
La 138.91 La.upf
CELL_PARAMETERS angstrom
5.750 0.039 0.124
-2.459 5.041 -0.014
0.832 0.955 3.007
ATOMIC_POSITIONS angstrom
Sc 0.000 0.000 0.000
Sc 3.291 0.497 1.565
Co -0.814 2.998 1.497
La 1.646 2.540 0.055
```

=====

Energy of formation from the pure elements? In order: 27.7 8.3 53.8 30.0 -7.0 18.9 -2.4 -4.5 23.3 -13.4 103.2 -4.6 31.8 kJ per mole of atoms.
N(E_F)? In order: 1.71 1.10 0.97 1.36 1.42 1.18 1.11 1.02 1.93 1.03 1.67 1.18 1.20 states/eV per atom.